! PBE+U Li2SmVF8, relaxed; values from VASP
&SYSTEM
  ibrav = 0, nat = 12, ntyp = 4
/
ATOMIC_SPECIES
Li 6.94 Li.upf
Sm 150.36 Sm.upf
V 50.94 V.upf
F 19.00 F.upf
CELL_PARAMETERS angstrom
4.778 0.064 -0.003
0.122 4.793 -0.005
0.004 0.008 6.780
ATOMIC_POSITIONS angstrom
Li 2.454 2.435 5.172
Li 2.451 2.430 1.600
Sm 0.002 0.004 3.390
V 0.000 0.000 0.000
F 1.054 3.842 1.512
F 3.525 3.507 6.774
F 3.848 1.018 1.514
F 3.851 1.023 5.259
F 1.379 1.357 -0.002
F 1.056 3.846 5.258
F 3.336 3.321 3.385
F 1.569 1.544 3.387
! Magnetic moment in Bohr magnetons per cell: 2.0
! Energy in eV per atom: -5.833
! Density of states at the Fermi level in states/eV per cell: 0.0
! Symmetry: P2/m